1.
# TbGa2Ir

Crystalline TbGa2Ir at its relaxed geometry (PBE-GGA, Alexandria).

As for the density of states at the Fermi level: 24.069 states/eV/cell. The calculation puts the energy relative to the elements at -0.692 eV/atom. The magnetic moment comes out at 0.00 μB/atom.

It has space group Immm (No. 71), with a = 4.305 Å, b = 9.326 Å, c = 15.628 Å, α = 90.00°, β = 90.00° and γ = 90.00°. The distinct sites, in fractional coordinates, are Tb at (0.000, 0.000, 0.206), Tb at (0.000, 0.238, 0.000), Ga at (0.000, 0.000, 0.415), Ga at (0.000, 0.348, 0.196), Ga at (0.000, 0.500, 0.422) and Ir at (0.000, 0.256, 0.356).

***

2.
# V2Co2W

Crystalline V2Co2W at its relaxed geometry (PBE-GGA, Alexandria).

As for the density of states at the Fermi level: 9.151 states/eV/cell. The calculation puts the energy relative to the elements at -0.008 eV/atom. The magnetic moment comes out at 0.00 μB/atom. The excess energy over the best structure of this formula in the dataset comes out at 0 meV per atom.

It has space group P4/mbm (No. 127), with a = 6.880 Å, b = 6.880 Å, c = 2.695 Å, α = 90.00°, β = 90.00° and γ = 90.00°. The distinct sites, in fractional coordinates, are V at (0.168, 0.332, 0.000), Co at (0.129, 0.629, 0.500) and W at (0.000, 0.000, 0.500).

***

3.
# Pm3Zn4Au4

Crystalline Pm3Zn4Au4 at its relaxed geometry (PBE-GGA, Alexandria).

As for the density of states at the Fermi level: 5.736 states/eV/cell. The calculation puts the energy relative to the elements at -0.602 eV/atom. The magnetic moment comes out at 0.00 μB/atom. The excess energy over the best structure of this formula in the dataset comes out at 3 meV per atom.

It has space group P-1 (No. 2), with a = 3.794 Å, b = 4.454 Å, c = 14.335 Å, α = 98.67°, β = 97.54° and γ = 90.23°. The distinct sites, in fractional coordinates, are Pm at (0.000, 0.000, 0.000), Pm at (0.145, 0.645, 0.291), Zn at (0.256, 0.259, 0.512), Zn at (0.403, 0.905, 0.807), Au at (0.310, 0.813, 0.621) and Au at (0.451, 0.450, 0.899).

***

4.
# SbPSeN2

Crystalline SbPSeN2 at its relaxed geometry (PBE-GGA, Alexandria).

As for the density of states at the Fermi level: 2.890 states/eV/cell. The energy relative to the elements, uncorrected comes out at 1.07 eV/atom. The magnetic moment comes out at 0.05 μB/atom. The excess energy over the best structure of this formula in the dataset comes out at 0 meV per atom.

It has space group P4/mmm (No. 123), with a = 3.801 Å, b = 3.801 Å, c = 4.841 Å, α = 90.00°, β = 90.00° and γ = 90.00°. The distinct sites, in fractional coordinates, are Sb at (0.000, 0.000, 0.000), P at (0.500, 0.500, 0.500), Se at (0.500, 0.500, 0.000) and N at (0.000, 0.500, 0.500).